1.
Computed, not measured: a geometry-optimized Hg7As2Br2 structure at the PBE level of DFT.

abc: 13.2436 10.8394 4.9449
angles: 90.00 99.52 90.00
Closest atoms and distances in Å follow each position.
Space group C2/m (No. 12)
Inequivalent atoms, fractional coordinates:
Hg 0.0000 0.0000 0.0000  2 As 2.71
Hg 0.0835 0.5000 0.8624  1 As 2.74, 1 Hg 2.78
Hg 0.2205 0.1667 0.6755  1 As 2.63, 1 Hg 2.71
As 0.2067 0.0000 0.0545  4 Hg 2.63-2.74
Br 0.0000 0.2755 0.5000  4 Hg 3.11-3.14

- Magnetization: 0.00 Bohr magnetons per cell
- E_form (uncorrected): -0.06 eV/atom

---

2.
Computed, not measured: a geometry-optimized Hg3As2Br2 structure at the PBE level of DFT.

abc: 5.8601 5.9507 8.4452
angles: 104.30 93.35 114.10
Closest atoms and distances in Å follow each position.
Space group P-1 (No. 2)
Inequivalent atoms, fractional coordinates:
Hg 0.0000 0.0000 0.0000  2 As 2.59
Hg 0.2846 0.6059 0.3244  1 As 2.53, 1 Br 2.58
As 0.2088 0.4819 0.0103  2 Hg 2.53-2.59, 1 As 2.54
Br 0.3680 0.7453 0.6444  1 Hg 2.58

- Magnetization: 0.00 Bohr magnetons per cell
- E_form (uncorrected): -0.22 eV/atom

---

3.
Computed, not measured: a geometry-optimized Hg3AsBr9 structure at the PBE level of DFT.

abc: 19.3231 10.3996 13.9223
angles: 90.00 126.70 90.00
Closest atoms and distances in Å follow each position.
Space group Cc (No. 9)
Inequivalent atoms, fractional coordinates:
Hg 0.0000 0.0974 0.0000  2 Br 2.44-2.46
Hg 0.1456 0.3578 0.4405  2 Br 2.45
Hg 0.3034 0.2814 0.8733  2 Br 2.45-2.46
As 0.2817 0.0700 0.1135  3 Br 2.39-2.43
Br 0.0183 0.4927 0.3596  1 Hg 2.45
Br 0.0248 0.2825 0.1243  1 Hg 2.44
Br 0.1569 0.1329 0.9202  1 As 2.39
Br 0.1907 0.4285 0.7229  1 Hg 2.45
Br 0.2083 0.0121 0.6945  1 As 2.43
Br 0.2779 0.2363 0.5190  1 Hg 2.45
Br 0.3191 0.2761 0.2073  1 As 2.39
Br 0.4089 0.1376 0.0378  1 Hg 2.46
Br 0.4604 0.4105 0.8686  1 Hg 2.46

- Magnetization: 0.00 Bohr magnetons per cell
- E_form (uncorrected): -0.41 eV/atom

---

4.
Computed, not measured: a geometry-optimized Hg2As3Br structure at the PBE level of DFT.

abc: 8.3205 9.4730 8.3663
angles: 90.00 98.48 90.00
Closest atoms and distances in Å follow each position.
Space group C2/c (No. 15)
Inequivalent atoms, fractional coordinates:
Hg 0.2246 0.1315 0.1582  2 As 2.59-2.63
As 0.0000 0.2949 0.2500  2 As 2.48, 2 Hg 2.63
As 0.1269 0.4381 0.4838  2 As 2.47-2.48, 1 Hg 2.59
Br 0.0000 0.1350 0.7500  4 Hg 3.20-3.30

- Magnetization: 0.00 Bohr magnetons per cell
- E_form (uncorrected): -0.14 eV/atom

---

5.
Computed, not measured: a geometry-optimized Hg2AsBr structure at the PBE level of DFT.

abc: 5.4414 4.5616 5.5137
angles: 90.00 119.46 90.00
Closest atoms and distances in Å follow each position.
Space group P2/m (No. 10)
Inequivalent atoms, fractional coordinates:
Hg 0.1763 0.0000 0.3517  2 As 2.84, 2 Hg 3.07
As 0.0000 0.5000 0.0000  2 Br 2.72, 4 Hg 2.84
Br 0.5000 0.5000 0.0000  2 As 2.72

- Energy above the most stable polymorph in this dataset: 254 meV/atom
- Magnetization: 0.00 Bohr magnetons per cell
- E_form (uncorrected): 0.05 eV/atom

---

6.
Computed, not measured: a geometry-optimized Hg2AsBr structure at the PBE level of DFT.

abc: 8.5445 3.9959 7.2275
angles: 90.00 92.65 90.00
Closest atoms and distances in Å follow each position.
Space group Cm (No. 8)
Inequivalent atoms, fractional coordinates:
Hg 0.0000 0.0000 0.0000  3 As 2.63-2.89
Hg 0.1846 0.5000 0.6280  1 Br 2.66, 2 As 2.72
As 0.2801 0.0000 0.8625  5 Hg 2.63-2.89
Br 0.4859 0.0000 0.3331  1 Hg 2.66

- Energy above the most stable polymorph in this dataset: 179 meV/atom
- Magnetization: 0.00 Bohr magnetons per cell
- E_form (uncorrected): -0.03 eV/atom

---

7.
Computed, not measured: a geometry-optimized Hg2AsBr structure at the PBE level of DFT.

abc: 8.6882 7.6598 9.5090
angles: 90.00 123.08 90.00
Closest atoms and distances in Å follow each position.
Space group P2_1/c (No. 14)
Inequivalent atoms, fractional coordinates:
Hg 0.0001 0.9999 0.2501  2 As 2.55
Hg 0.3764 0.2500 0.1873  2 As 2.60, 1 Br 2.74
As 0.2311 0.2499 0.3649  4 Hg 2.55-2.60
Br 0.2468 0.7494 0.1234  1 Hg 2.74

- Energy above the most stable polymorph in this dataset: 0 meV/atom
- Magnetization: 0.00 Bohr magnetons per cell
- E_form (uncorrected): -0.21 eV/atom

---

8.
Computed, not measured: a geometry-optimized Hg19As10Br18 structure at the PBE level of DFT.

abc: 11.5667 11.6405 12.7741
angles: 106.46 106.14 108.21
Closest atoms and distances in Å follow each position.
Space group P-1 (No. 2)
Inequivalent atoms, fractional coordinates:
Hg 0.0000 0.0000 0.0000  2 As 2.63
Hg 0.0693 0.4171 0.2743  2 As 2.59-2.60
Hg 0.0733 0.7489 0.1885  1 As 2.58, 3 Br 2.71-2.86
Hg 0.1252 0.1296 0.4031  1 As 2.55, 1 Br 2.57
Hg 0.2020 0.7883 0.5901  2 As 2.57-2.61
Hg 0.3053 0.5034 0.7831  1 As 2.55, 1 Br 2.60
Hg 0.3068 0.1906 0.8970  2 As 2.60
Hg 0.3271 0.8857 0.0060  1 As 2.57, 1 Br 2.64
Hg 0.3686 0.6090 0.1764  2 As 2.59-2.61
Hg 0.4820 0.6946 0.5683  1 As 2.54, 1 Br 2.57
As 0.0439 0.7980 0.7002  1 As 2.45, 3 Hg 2.55-2.61
As 0.1682 0.9710 0.9036  1 As 2.45, 3 Hg 2.57-2.63
As 0.2149 0.6436 0.2843  1 As 2.48, 3 Hg 2.58-2.59
As 0.3635 0.8204 0.4864  1 As 2.48, 2 Hg 2.54-2.57
As 0.4478 0.4145 0.8974  1 As 2.47, 3 Hg 2.55-2.61
Br 0.0409 0.1521 0.6596  2 Hg 2.82-2.97
Br 0.1160 0.2985 0.0191  1 Hg 2.71
Br 0.1379 0.4831 0.5874  1 Hg 2.60
Br 0.1703 0.5987 0.9342  4 Hg 2.97-3.24
Br 0.2193 0.0154 0.2236  3 Hg 2.86-3.17
Br 0.3367 0.1804 0.5769  1 Hg 2.57
Br 0.3806 0.4092 0.3310  1 Hg 2.57
Br 0.4628 0.7849 0.8645  2 Hg 2.90-2.94
Br 0.4981 0.0881 0.7952  1 Hg 2.64

- Magnetization: 0.00 Bohr magnetons per cell
- E_form (uncorrected): -0.30 eV/atom

---

9.
Computed, not measured: a geometry-optimized Hg2AsBr4 structure at the PBE level of DFT.

abc: 5.4504 5.4504 15.0556
angles: 90.00 90.00 90.00
Closest atoms and distances in Å follow each position.
Space group I4/mmm (No. 139)
Inequivalent atoms, fractional coordinates:
Hg 0.0000 0.0000 0.1375  1 Br 2.84
As 0.0000 0.0000 0.5000  6 Br 2.62-2.73
Br 0.0000 0.0000 0.3261  1 As 2.62, 1 Hg 2.84
Br 0.0000 0.5000 0.0000  2 As 2.73

- Magnetization: 0.00 Bohr magnetons per cell
- E_form (uncorrected): -0.15 eV/atom

---

10.
Computed, not measured: a geometry-optimized Hg12As5Br3 structure at the PBE level of DFT.

abc: 17.2280 17.2280 17.2280
angles: 90.00 90.00 90.00
Closest atoms and distances in Å follow each position.
Space group Ia-3d (No. 230)
Inequivalent atoms, fractional coordinates:
Hg 0.0500 0.0696 0.6349  2 As 2.65-2.75
As 0.0000 0.0000 0.0000  6 Hg 2.75
As 0.0000 0.2500 0.3750  4 Hg 2.65
Br 0.0000 0.2500 0.1250  4 Hg 3.23

- Magnetization: 0.00 Bohr magnetons per cell
- E_form (uncorrected): 0.06 eV/atom

---

11.
Computed, not measured: a geometry-optimized Hg2AsBr structure at the PBE level of DFT.

abc: 4.5978 5.4034 5.5405
angles: 60.85 86.36 81.56
Closest atoms and distances in Å follow each position.
Space group P-1 (No. 2)
Inequivalent atoms, fractional coordinates:
Hg 0.0037 0.3236 0.3514  2 As 2.86, 2 Hg 3.06
As 0.5000 0.5000 0.0000  2 Br 2.70, 4 Hg 2.86
Br 0.5000 0.0000 0.0000  2 As 2.70

- Energy above the most stable polymorph in this dataset: 267 meV/atom
- Magnetization: 0.00 Bohr magnetons per cell
- E_form (uncorrected): 0.06 eV/atom

---

12.
Computed, not measured: a geometry-optimized Hg2AsBr structure at the PBE level of DFT.

abc: 6.3522 6.3522 13.4470
angles: 90.00 90.00 90.00
Closest atoms and distances in Å follow each position.
Space group I-42d (No. 122)
Inequivalent atoms, fractional coordinates:
Hg 0.1799 0.2500 0.1250  2 As 2.58
As 0.0000 0.0000 0.0000  4 Hg 2.58
Br 0.0000 0.0000 0.5000  4 Hg 3.08

- Energy above the most stable polymorph in this dataset: 47 meV/atom
- Magnetization: 0.00 Bohr magnetons per cell
- E_form (uncorrected): -0.16 eV/atom

---

13.
Computed, not measured: a geometry-optimized Hg2AsBr structure at the PBE level of DFT.

abc: 4.1732 4.1732 21.1369
angles: 90.00 90.00 120.00
Closest atoms and distances in Å follow each position.
Space group R-3m (No. 166, hexagonal axes)
Inequivalent atoms, fractional coordinates:
Hg 0.0000 0.0000 0.2358  3 As 2.82
As 0.0000 0.0000 0.5000  6 Hg 2.82
Br 0.0000 0.0000 0.0000  6 Hg 3.17

- Energy above the most stable polymorph in this dataset: 197 meV/atom
- Magnetization: 0.00 Bohr magnetons per cell
- E_form (uncorrected): -0.01 eV/atom

---

14.
Computed, not measured: a geometry-optimized Hg2AsBr structure at the PBE level of DFT.

abc: 4.8176 3.4562 6.1491
angles: 90.00 93.95 90.00
Closest atoms and distances in Å follow each position.
Space group P2/m (No. 10)
Inequivalent atoms, fractional coordinates:
Hg 0.0000 0.0000 0.0000  4 Hg 2.96
Hg 0.5000 0.5000 0.0000  4 Hg 2.96
As 0.0000 0.5000 0.5000  4 Br 2.96
Br 0.5000 0.0000 0.5000  4 As 2.96

- Energy above the most stable polymorph in this dataset: 483 meV/atom
- Magnetization: 0.00 Bohr magnetons per cell
- E_form (uncorrected): 0.27 eV/atom

---

15.
Computed, not measured: a geometry-optimized Hg2As2Br structure at the PBE level of DFT.

abc: 3.9260 3.9260 16.2671
angles: 90.00 90.00 90.00
Closest atoms and distances in Å follow each position.
Space group I4/mmm (No. 139)
Inequivalent atoms, fractional coordinates:
Hg 0.0000 0.0000 0.1022  4 As 3.10, 4 Br 3.24, 1 Hg 3.33
As 0.0000 0.5000 0.2500  4 As 2.78, 4 Hg 3.10
Br 0.0000 0.0000 0.5000  8 Hg 3.24

- Magnetization: 0.00 Bohr magnetons per cell
- E_form (uncorrected): 0.16 eV/atom